(1)
Compound: LiZn3Fe
Source: Alexandria via LeMat-Bulk
Functional: GGA-PBE
Structure: optimized geometry

Cell and atoms, written as POSCAR:
```
LiZn3Fe
1.0
4.641 0.000 0.000
0.000 4.641 0.000
0.000 0.000 4.641
Li Zn Fe
1 3 1
Cartesian
0.000 0.000 0.000
0.000 2.321 2.321
2.321 0.000 2.321
2.321 2.321 0.000
2.321 2.321 2.321
```

As for the space-group type: No. 221. For the energy relative to the lowest polymorph listed for this composition, the calculation gives 0 kJ/mol of formula units. The energy of formation from the pure elements comes out at 1.74 eV per formula unit. The total energy comes out at -2.493 eV/atom.


(2)
Compound: Tb3Pr8Mg
Source: Alexandria via LeMat-Bulk
Functional: GGA-PBE
Structure: optimized geometry

Cell and atoms, written as POSCAR:
```
Tb3Pr8Mg
1.0
-4.380 4.380 5.828
4.380 -4.380 5.828
4.380 4.380 -5.828
Tb Pr Mg
3 8 1
Cartesian
0.000 0.000 0.000
4.380 0.000 2.914
0.000 4.380 2.914
1.116 -1.116 2.902
2.193 -2.193 5.742
2.187 2.187 0.086
-1.116 1.116 2.902
3.265 3.265 2.926
-2.193 2.193 5.742
2.193 2.193 5.914
1.116 1.116 8.754
0.000 0.000 5.828
```

As for the space-group type: No. 121. The energy of formation from the pure elements comes out at 6.12 eV per formula unit. The total energy comes out at -3.967 eV/atom.


(3)
Compound: SrPtSe2
Source: Alexandria via LeMat-Bulk
Functional: GGA-PBE
Structure: optimized geometry

Cell and atoms, written as POSCAR:
```
SrPtSe2
1.0
3.596 0.000 0.000
0.000 3.596 0.000
0.000 0.000 7.941
Sr Pt Se
1 1 2
Cartesian
0.000 0.000 0.000
1.798 1.798 2.577
0.000 0.000 3.181
1.798 1.798 6.305
```

The uncorrected formation energy is -0.62 eV/atom. As for the space-group type: No. 99. For the energy relative to the lowest polymorph listed for this composition, the calculation gives 150 kJ/mol of formula units. The total energy comes out at -4.295 eV/atom.


(4)
Compound: AcSm6DyEr2
Source: Alexandria via LeMat-Bulk
Functional: GGA-PBE
Structure: optimized geometry

Cell and atoms, written as POSCAR:
```
AcSm6DyEr2
1.0
4.676 -7.677 0.000
4.676 7.677 0.000
-0.906 0.000 9.602
Ac Sm Dy Er
2 12 2 4
Cartesian
3.997 7.223 7.202
4.450 -7.223 2.401
2.013 4.181 6.551
4.054 4.838 0.528
4.846 4.838 4.273
2.947 1.706 8.475
5.980 4.181 7.852
5.046 1.706 5.928
3.400 -1.706 3.674
2.466 -4.181 1.750
5.499 -1.706 1.127
3.601 -4.838 5.329
4.393 -4.838 9.074
6.433 -4.181 3.051
4.450 1.343 2.401
3.997 -1.343 7.202
1.936 0.845 5.267
2.389 -0.845 0.466
6.058 0.845 9.137
6.511 -0.845 4.335
```

As for the space-group type: No. 15. The energy of formation from the pure elements comes out at 1.24 eV per formula unit. The total energy comes out at -4.491 eV/atom.